Material: LaCr2ReO8
Method: DFT, PBE with a Hubbard U
State: optimized geometry

**V**: 149 Å³ per cell
**E_tot**: -8.005 eV/atom

Lattice parameters (Å, degrees): 4.7556 4.7556 6.6043 90.00 90.00 91.48
Closest atoms and distances in Å follow each position.
Atoms (fractional coordinates):
1 La 0.0000 0.0000 0.0000  6 O 2.25-2.37
2 Cr 0.5000 0.5000 0.2495  6 O 2.01-2.20
3 Cr 0.5000 0.5000 0.7505  6 O 2.01-2.20
4 Re 0.0000 0.0000 0.5000  6 O 1.88-1.95
5 O 0.2004 0.2004 0.2978  1 Re 1.88, 1 Cr 2.01
6 O 0.2004 0.2004 0.7022  1 Re 1.88, 1 Cr 2.01
7 O 0.2862 0.7138 0.5000  1 Re 1.95
8 O 0.3306 0.6694 0.0000  2 Cr 2.01, 1 La 2.25
9 O 0.6694 0.3306 0.0000  2 Cr 2.01, 1 La 2.25
10 O 0.7138 0.2862 0.5000  1 Re 1.95
11 O 0.7996 0.7996 0.2978  1 Re 1.88, 1 Cr 2.01
12 O 0.7996 0.7996 0.7022  1 Re 1.88, 1 Cr 2.01